The following is a GGA-PBE calculation of a geometry-optimized SrBe2Sb structure, from the Alexandria database.

a = 4.2637 Å, b = 4.2637 Å, c = 9.6331 Å
α = 90.00°, β = 90.00°, γ = 90.00°
Last column: nearest neighbours and their distance in Å.
Space group I-4m2 (No. 119)
Symmetry-distinct sites (fractional):
Sr: 0.0000 0.0000 0.0000 x2  8 Be 3.01-3.22, 4 Sb 3.22
Be: 0.0000 0.0000 0.5000 x2  4 Sr 3.01, 4 Sb 3.22, 4 Be 3.22
Be: 0.0000 0.5000 0.7500 x2  4 Sb 3.01, 4 Be 3.22, 4 Sr 3.22
Sb: 0.0000 0.5000 0.2500 x2  8 Be 3.01-3.22, 4 Sr 3.22

Properties
crystal system = tetragonal
magnetization = 0.0 μB/cell
volume = 175.1 Å³/cell
raw formation energy = 549 meV/atom
N(E_F) = 5.3 states/eV per cell



The following is a GGA-PBE calculation of a geometry-optimized KIn2CuAg structure, from the Alexandria database.

a = 5.0775 Å, b = 5.0775 Å, c = 5.2666 Å
α = 90.00°, β = 90.00°, γ = 90.00°
Last column: nearest neighbours and their distance in Å.
Space group P4/mmm (No. 123)
Symmetry-distinct sites (fractional):
K: 0.0000 0.0000 0.0000 x1  4 Ag 3.59, 8 In 3.66
In: 0.0000 0.5000 0.5000 x2  2 Cu 2.54
Cu: 0.5000 0.5000 0.5000 x1  4 In 2.54, 2 Ag 2.63
Ag: 0.5000 0.5000 0.0000 x1  2 Cu 2.63

Properties
formation energy from the elements = 0.08 eV per atom
crystal system = tetragonal
magnetization = 0.0 μB/cell
volume = 135.8 Å³/cell
N(E_F) = 2.1 states/eV per cell



The following is a GGA-PBE calculation of a geometry-optimized PmAl6Ni6 structure, from the Alexandria database.

a = 4.9612 Å, b = 8.3936 Å, c = 8.6884 Å
α = 90.00°, β = 90.00°, γ = 90.00°
Last column: nearest neighbours and their distance in Å.
Space group Immm (No. 71)
Symmetry-distinct sites (fractional):
Pm: 0.0000 0.0000 0.0000 x2  8 Al 2.87-3.03, 4 Ni 3.18
Al: 0.0000 0.0000 0.3485 x4  6 Ni 2.57-2.58, 3 Al 2.63-2.81
Al: 0.0000 0.3424 0.0000 x4  6 Ni 2.62-2.64, 1 Al 2.65, 1 Pm 2.87
Al: 0.0000 0.5000 0.3023 x4  6 Ni 2.48-2.62
Ni: 0.0000 0.2636 0.5000 x4  4 Ni 2.50, 6 Al 2.57-2.64
Ni: 0.2500 0.2500 0.2500 x8  6 Al 2.48-2.62, 4 Ni 2.48-2.50

Properties
formation energy from the elements = -0.57 eV per atom
crystal system = orthorhombic
magnetization = 0.0 μB/cell
volume = 361.8 Å³/cell
N(E_F) = 15.7 states/eV per cell



The following is a GGA-PBE calculation of a geometry-optimized Hf4CoGe structure, from the Alexandria database.

a = 6.2244 Å, b = 6.3750 Å, c = 6.2897 Å
α = 90.00°, β = 90.04°, γ = 90.00°
Last column: nearest neighbours and their distance in Å.
Space group P2_1/c (No. 14)
Symmetry-distinct sites (fractional):
Hf: 0.1409 0.1683 0.1723 x4  2 Co 2.48-2.53, 1 Ge 2.71
Hf: 0.3388 0.6408 0.1398 x4  1 Co 2.45, 2 Ge 2.63-2.65
Co: 0.0000 0.0000 0.5000 x2  6 Hf 2.45-2.53
Ge: 0.5000 0.0000 0.0000 x2  6 Hf 2.63-2.71

Properties
formation energy from the elements = -0.11 eV per atom
crystal system = monoclinic
magnetization = 0.0 μB/cell
volume = 249.6 Å³/cell
N(E_F) = 10.0 states/eV per cell



Question: volume of number 1 (SrBe2Sb)?
Answer: 175.1 Å³/cell



Question: What is the volume in the third record?
Answer: 361.8 Å³/cell



Question: Which of these has the lowest volume?
Answer: KIn2CuAg